Density functional theory data (PBE) for a relaxed structure of Na2Sn2Pd5.

```
data_Na2Sn2Pd5
_chemical_formula_sum 'Na8 Sn8 Pd20'
_cell_length_a 16.616
_cell_length_b 7.106
_cell_length_c 5.711
_cell_angle_alpha 90.00
_cell_angle_beta 90.00
_cell_angle_gamma 90.00
_space_group_name_H-M_alt 'I m a 2'
_space_group_IT_number 46
_space_group_name_Hall 'I 2 -2a'
loop_
_atom_site_label
_atom_site_fract_x
_atom_site_fract_y
_atom_site_fract_z
Na1 0.078 0.107 0.000
Sn1 0.000 0.000 0.488
Sn2 0.250 0.129 0.848
Pd1 0.088 0.742 0.240
Pd2 0.167 0.035 0.460
Pd3 0.250 0.689 0.598
```

Output
E_form in eV per atom: -0.3164
Density of states at the Fermi level in states/eV/f.u.: 4.2